# PBE Pb3Se2S, relaxed
# - total energy (eV per atom) = -4.255
# - total magnetization (μB per cell) = 0.00
data_Pb3Se2S
_chemical_formula_sum 'Pb6 Se4 S2'
_space_group_name_H-M_alt 'P 1'
_space_group_IT_number 1
_space_group_name_Hall 'P 1'
_cell_length_a 7.522
_cell_length_b 7.522
_cell_length_c 7.521
_cell_angle_alpha 99.59
_cell_angle_beta 99.59
_cell_angle_gamma 120.05
loop_
_atom_site_label
_atom_site_type_symbol
_atom_site_fract_x
_atom_site_fract_y
_atom_site_fract_z
Pb1 Pb 0.000 0.500 0.500
Pb2 Pb 0.160 0.321 0.002
Pb3 Pb 0.321 0.160 0.502
Pb4 Pb 0.500 0.000 0.000
Pb5 Pb 0.679 0.840 0.498
Pb6 Pb 0.840 0.679 0.998
Se1 Se 0.253 0.747 0.250
Se2 Se 0.417 0.583 0.750
Se3 Se 0.583 0.417 0.250
Se4 Se 0.747 0.253 0.750
S1 S 0.085 0.915 0.750
S2 S 0.915 0.085 0.250



# PBE KMgZr4, relaxed
# - total energy (eV per atom) = -5.511
# - total magnetization (μB per cell) = 0.00
data_KMgZr4
_chemical_formula_sum 'K1 Mg1 Zr4'
_space_group_name_H-M_alt 'P 1'
_space_group_IT_number 1
_space_group_name_Hall 'P 1'
_cell_length_a 6.102
_cell_length_b 6.102
_cell_length_c 6.102
_cell_angle_alpha 60.00
_cell_angle_beta 60.00
_cell_angle_gamma 60.00
loop_
_atom_site_label
_atom_site_type_symbol
_atom_site_fract_x
_atom_site_fract_y
_atom_site_fract_z
K1 K 0.000 0.000 0.000
Mg1 Mg 0.750 0.750 0.750
Zr1 Zr 0.378 0.378 0.378
Zr2 Zr 0.378 0.378 0.867
Zr3 Zr 0.378 0.867 0.378
Zr4 Zr 0.867 0.378 0.378



# PBE Ba2TmAlTe5, relaxed
# - total energy (eV per atom) = -4.413
# - total magnetization (μB per cell) = 0.00
data_Ba2TmAlTe5
_chemical_formula_sum 'Ba4 Tm2 Al2 Te10'
_space_group_name_H-M_alt 'P 1'
_space_group_IT_number 1
_space_group_name_Hall 'P 1'
_cell_length_a 10.508
_cell_length_b 10.508
_cell_length_c 14.282
_cell_angle_alpha 90.00
_cell_angle_beta 90.00
_cell_angle_gamma 155.35
loop_
_atom_site_label
_atom_site_type_symbol
_atom_site_fract_x
_atom_site_fract_y
_atom_site_fract_z
Ba1 Ba 0.122 0.878 0.500
Ba2 Ba 0.125 0.875 0.136
Ba3 Ba 0.875 0.125 0.636
Ba4 Ba 0.878 0.122 0.000
Tm1 Tm 0.205 0.795 0.840
Tm2 Tm 0.795 0.205 0.340
Al1 Al 0.436 0.564 0.243
Al2 Al 0.564 0.436 0.743
Te1 Te 0.049 0.951 0.850
Te2 Te 0.295 0.705 0.482
Te3 Te 0.311 0.689 0.187
Te4 Te 0.350 0.650 0.820
Te5 Te 0.498 0.502 0.085
Te6 Te 0.502 0.498 0.585
Te7 Te 0.650 0.350 0.320
Te8 Te 0.689 0.311 0.687
Te9 Te 0.705 0.295 0.982
Te10 Te 0.951 0.049 0.350



# PBE PtRh2Cl, relaxed
# - total energy (eV per atom) = -5.114
# - distance to the lowest polymorph of the same formula (meV per atom) = 325
# - total magnetization (μB per cell) = 0.00
data_PtRh2Cl
_chemical_formula_sum 'Pt1 Rh2 Cl1'
_space_group_name_H-M_alt 'P 1'
_space_group_IT_number 1
_space_group_name_Hall 'P 1'
_cell_length_a 5.308
_cell_length_b 5.308
_cell_length_c 5.308
_cell_angle_alpha 149.64
_cell_angle_beta 124.35
_cell_angle_gamma 64.71
loop_
_atom_site_label
_atom_site_type_symbol
_atom_site_fract_x
_atom_site_fract_y
_atom_site_fract_z
Pt1 Pt 0.000 0.000 0.000
Rh1 Rh 0.259 0.759 0.500
Rh2 Rh 0.741 0.241 0.500
Cl1 Cl 0.500 0.500 0.000



# PBE Na2GeRhS, relaxed
# - total energy (eV per atom) = -3.566
# - total magnetization (μB per cell) = 1.67
data_Na2GeRhS
_chemical_formula_sum 'Na2 Ge1 Rh1 S1'
_space_group_name_H-M_alt 'P 1'
_space_group_IT_number 1
_space_group_name_Hall 'P 1'
_cell_length_a 5.613
_cell_length_b 5.613
_cell_length_c 4.249
_cell_angle_alpha 90.00
_cell_angle_beta 90.00
_cell_angle_gamma 90.00
loop_
_atom_site_label
_atom_site_type_symbol
_atom_site_fract_x
_atom_site_fract_y
_atom_site_fract_z
Na1 Na 0.000 0.500 0.000
Na2 Na 0.500 0.000 0.000
Ge1 Ge 0.000 0.000 0.500
Rh1 Rh 0.500 0.500 0.000
S1 S 0.500 0.500 0.500



# PBE TaMn2Au, relaxed
# - total energy (eV per atom) = -8.141
# - distance to the lowest polymorph of the same formula (meV per atom) = 226
# - total magnetization (μB per cell) = 4.46
data_TaMn2Au
_chemical_formula_sum 'Ta1 Mn2 Au1'
_space_group_name_H-M_alt 'P 1'
_space_group_IT_number 1
_space_group_name_Hall 'P 1'
_cell_length_a 4.429
_cell_length_b 4.429
_cell_length_c 4.429
_cell_angle_alpha 60.00
_cell_angle_beta 60.00
_cell_angle_gamma 60.00
loop_
_atom_site_label
_atom_site_type_symbol
_atom_site_fract_x
_atom_site_fract_y
_atom_site_fract_z
Ta1 Ta 0.000 0.000 0.000
Mn1 Mn 0.250 0.250 0.250
Mn2 Mn 0.500 0.500 0.500
Au1 Au 0.750 0.750 0.750



# PBE K2CeYSe4, relaxed
# - total energy (eV per atom) = -5.292
# - total magnetization (μB per cell) = 1.01
data_K2CeYSe4
_chemical_formula_sum 'K2 Ce1 Y1 Se4'
_space_group_name_H-M_alt 'P 1'
_space_group_IT_number 1
_space_group_name_Hall 'P 1'
_cell_length_a 7.450
_cell_length_b 4.303
_cell_length_c 8.066
_cell_angle_alpha 90.00
_cell_angle_beta 107.90
_cell_angle_gamma 90.00
loop_
_atom_site_label
_atom_site_type_symbol
_atom_site_fract_x
_atom_site_fract_y
_atom_site_fract_z
K1 K 0.000 0.000 0.000
K2 K 0.500 0.500 0.000
Ce1 Ce 0.000 0.500 0.500
Y1 Y 0.500 0.000 0.500
Se1 Se 0.244 0.000 0.709
Se2 Se 0.272 0.500 0.294
Se3 Se 0.728 0.500 0.706
Se4 Se 0.756 0.000 0.291



# PBE Na2Sr2Zn, relaxed
# - total energy (eV per atom) = -1.317
# - distance to the lowest polymorph of the same formula (meV per atom) = 221
# - total magnetization (μB per cell) = 0.00
data_Na2Sr2Zn
_chemical_formula_sum 'Na4 Sr4 Zn2'
_space_group_name_H-M_alt 'P 1'
_space_group_IT_number 1
_space_group_name_Hall 'P 1'
_cell_length_a 8.604
_cell_length_b 8.604
_cell_length_c 5.973
_cell_angle_alpha 90.00
_cell_angle_beta 90.00
_cell_angle_gamma 90.00
loop_
_atom_site_label
_atom_site_type_symbol
_atom_site_fract_x
_atom_site_fract_y
_atom_site_fract_z
Na1 Na 0.148 0.352 0.000
Na2 Na 0.352 0.852 0.000
Na3 Na 0.648 0.148 0.000
Na4 Na 0.852 0.648 0.000
Sr1 Sr 0.166 0.666 0.500
Sr2 Sr 0.334 0.166 0.500
Sr3 Sr 0.666 0.834 0.500
Sr4 Sr 0.834 0.334 0.500
Zn1 Zn 0.000 0.000 0.500
Zn2 Zn 0.500 0.500 0.500